A geometry-optimized Pu3Tl2MoO12 structure. Source: Alexandria, functional GGA+U.

Geometry as extended XYZ:
```
18
Lattice="-3.4953 5.7474 -3.6514 -6.5551 2.7452 2.8422 -0.0186 6.9507 3.2048" Properties=species:S:1:pos:R:3 pbc="T T T"
O -5.2532 12.7458 0.4270
O -5.3850 8.4965 -1.4700
Tl -6.2925 9.6511 1.4971
O -4.8158 2.6975 1.9686
O -0.6224 5.3954 2.2012
O -4.6840 6.9468 3.8655
O -7.2162 10.8198 4.5928
Pu -1.7476 2.8737 -1.8257
O -2.8062 8.7892 -0.1195
Tl -3.7765 5.7922 0.8985
Mo 0.0000 0.0000 0.0000
O -6.8175 6.2084 -0.3420
O -2.8528 4.6235 -2.1973
O -7.2628 6.6541 2.5151
Pu -3.2775 1.3726 1.4211
Pu -0.0093 3.4753 1.6024
O -3.2515 9.2349 2.7376
O -9.4465 10.0479 0.1943
```

Properties
The density of states at the Fermi level is 12.5 states/eV/cell. The value obtained for the total energy is -151.957 eV/cell. The calculation puts the volume at 324.9 Å³/cell.